(1)
Here is a geometry-optimized CeCo2Si2Ru structure from Alexandria via LeMat-Bulk. Energies are from PBE.

Results
uncorrected formation energy = 24 meV/atom
raw total energy = -40.1 eV per formula unit
calculated volume = 17.56 Å³ per atom
magnetic moment = 1.57 μB/f.u.

```
data_CeCo2Si2Ru
_chemical_formula_sum 'Ce1 Co2 Si2 Ru1'
_cell_length_a 4.550
_cell_length_b 4.550
_cell_length_c 5.091
_cell_angle_alpha 90.00
_cell_angle_beta 90.00
_cell_angle_gamma 90.00
_symmetry_space_group_name_H-M 'P 1'
_symmetry_Int_Tables_number 1
_symmetry_space_group_name_Hall 'P 1'
loop_
_atom_site_label
_atom_site_type_symbol
_atom_site_fract_x
_atom_site_fract_y
_atom_site_fract_z
Ce1 Ce 0.000 0.000 0.000
Co1 Co 0.500 0.500 0.260
Co2 Co 0.500 0.500 0.740
Si1 Si 0.000 0.500 0.500
Si2 Si 0.500 0.000 0.500
Ru1 Ru 0.000 0.000 0.500
```



(2)
Here is a geometry-optimized Pr4Sm3Dy4 structure from Alexandria via LeMat-Bulk. Energies are from PBE.

Results
raw total energy = -50.0 eV per formula unit
calculated volume = 34.42 Å³ per atom
offset from the most stable computed form = 25 kJ/mol of formula units
magnetic moment = 0.00 μB/f.u.
DFT formation energy = 150 meV/atom

```
data_Pr4Sm3Dy4
_chemical_formula_sum 'Pr4 Sm3 Dy4'
_cell_length_a 10.816
_cell_length_b 6.718
_cell_length_c 6.718
_cell_angle_alpha 50.85
_cell_angle_beta 90.00
_cell_angle_gamma 90.00
_symmetry_space_group_name_H-M 'P 1'
_symmetry_Int_Tables_number 1
_symmetry_space_group_name_Hall 'P 1'
loop_
_atom_site_label
_atom_site_type_symbol
_atom_site_fract_x
_atom_site_fract_y
_atom_site_fract_z
Pr1 Pr 0.000 0.000 0.000
Pr2 Pr 0.210 0.794 0.794
Pr3 Pr 0.500 0.921 0.921
Pr4 Pr 0.790 0.794 0.794
Sm1 Sm 0.000 0.293 0.293
Sm2 Sm 0.290 0.451 0.451
Sm3 Sm 0.710 0.451 0.451
Dy1 Dy 0.000 0.593 0.593
Dy2 Dy 0.304 0.145 0.145
Dy3 Dy 0.500 0.648 0.648
Dy4 Dy 0.696 0.145 0.145
```



(3)
Here is a geometry-optimized BaMg2Fe structure from Alexandria via LeMat-Bulk. Energies are from PBE.

Results
raw total energy = -11.6 eV per formula unit
calculated volume = 28.12 Å³ per atom
magnetic moment = 2.56 μB/f.u.
DFT formation energy = 485 meV/atom

```
data_BaMg2Fe
_chemical_formula_sum 'Ba2 Mg4 Fe2'
_cell_length_a 5.101
_cell_length_b 5.776
_cell_length_c 7.636
_cell_angle_alpha 90.00
_cell_angle_beta 90.00
_cell_angle_gamma 90.00
_symmetry_space_group_name_H-M 'P 1'
_symmetry_Int_Tables_number 1
_symmetry_space_group_name_Hall 'P 1'
loop_
_atom_site_label
_atom_site_type_symbol
_atom_site_fract_x
_atom_site_fract_y
_atom_site_fract_z
Ba1 Ba 0.000 0.000 0.000
Ba2 Ba 0.500 0.500 0.500
Mg1 Mg 0.000 0.000 0.521
Mg2 Mg 0.000 0.500 0.796
Mg3 Mg 0.500 0.000 0.296
Mg4 Mg 0.500 0.500 0.021
Fe1 Fe 0.000 0.500 0.178
Fe2 Fe 0.500 0.000 0.678
```



(4)
Here is a geometry-optimized Te3Ir structure from Alexandria via LeMat-Bulk. Energies are from PBE.

Results
uncorrected formation energy = 300 meV/atom
raw total energy = -17.1 eV per formula unit
calculated volume = 25.91 Å³ per atom
magnetic moment = 0.00 μB/f.u.

```
data_Te3Ir
_chemical_formula_sum 'Te12 Ir4'
_cell_length_a 8.165
_cell_length_b 8.165
_cell_length_c 7.178
_cell_angle_alpha 90.00
_cell_angle_beta 90.00
_cell_angle_gamma 120.00
_symmetry_space_group_name_H-M 'P 1'
_symmetry_Int_Tables_number 1
_symmetry_space_group_name_Hall 'P 1'
loop_
_atom_site_label
_atom_site_type_symbol
_atom_site_fract_x
_atom_site_fract_y
_atom_site_fract_z
Te1 Te 0.000 0.500 0.000
Te2 Te 0.000 0.500 0.500
Te3 Te 0.142 0.284 0.250
Te4 Te 0.142 0.858 0.250
Te5 Te 0.284 0.142 0.750
Te6 Te 0.500 0.000 0.000
Te7 Te 0.500 0.000 0.500
Te8 Te 0.500 0.500 0.000
Te9 Te 0.500 0.500 0.500
Te10 Te 0.716 0.858 0.250
Te11 Te 0.858 0.142 0.750
Te12 Te 0.858 0.716 0.750
Ir1 Ir 0.000 0.000 0.000
Ir2 Ir 0.000 0.000 0.500
Ir3 Ir 0.333 0.667 0.750
Ir4 Ir 0.667 0.333 0.250
```



(5)
Here is a geometry-optimized Sm2ThH structure from Alexandria via LeMat-Bulk. Energies are from PBE.

Results
raw total energy = -19.7 eV per formula unit
calculated volume = 24.83 Å³ per atom
offset from the most stable computed form = 42 kJ/mol of formula units
magnetic moment = 0.00 μB/f.u.

```
data_Sm2ThH
_chemical_formula_sum 'Sm2 Th1 H1'
_cell_length_a 3.406
_cell_length_b 3.406
_cell_length_c 8.558
_cell_angle_alpha 90.00
_cell_angle_beta 90.00
_cell_angle_gamma 90.00
_symmetry_space_group_name_H-M 'P 1'
_symmetry_Int_Tables_number 1
_symmetry_space_group_name_Hall 'P 1'
loop_
_atom_site_label
_atom_site_type_symbol
_atom_site_fract_x
_atom_site_fract_y
_atom_site_fract_z
Sm1 Sm 0.000 0.000 0.193
Sm2 Sm 0.000 0.000 0.807
Th1 Th 0.500 0.500 0.500
H1 H 0.500 0.500 0.000
```



(6)
Here is a geometry-optimized Li5MgAg2 structure from Alexandria via LeMat-Bulk. Energies are from PBE.

Results
raw total energy = -18.1 eV per formula unit
calculated volume = 17.42 Å³ per atom
magnetic moment = 0.00 μB/f.u.
DFT formation energy = -152 meV/atom

```
data_Li5MgAg2
_chemical_formula_sum 'Li10 Mg2 Ag4'
_cell_length_a 5.905
_cell_length_b 11.778
_cell_length_c 4.008
_cell_angle_alpha 90.00
_cell_angle_beta 90.00
_cell_angle_gamma 90.00
_symmetry_space_group_name_H-M 'P 1'
_symmetry_Int_Tables_number 1
_symmetry_space_group_name_Hall 'P 1'
loop_
_atom_site_label
_atom_site_type_symbol
_atom_site_fract_x
_atom_site_fract_y
_atom_site_fract_z
Li1 Li 0.000 0.000 0.000
Li2 Li 0.001 0.248 0.000
Li3 Li 0.243 0.868 0.500
Li4 Li 0.257 0.368 0.500
Li5 Li 0.499 0.748 0.000
Li6 Li 0.500 0.500 0.000
Li7 Li 0.501 0.252 0.000
Li8 Li 0.743 0.632 0.500
Li9 Li 0.757 0.132 0.500
Li10 Li 0.999 0.752 0.000
Mg1 Mg 0.000 0.500 0.000
Mg2 Mg 0.500 0.000 0.000
Ag1 Ag 0.249 0.123 0.500
Ag2 Ag 0.251 0.623 0.500
Ag3 Ag 0.749 0.377 0.500
Ag4 Ag 0.751 0.877 0.500
```